No. 1
A relaxed HfIn2Sb2 crystal. Source: Alexandria via LeMat-Bulk, functional PBE-GGA.

```
10
Lattice="7.571 0.000 0.000 0.000 7.571 0.000 0.000 0.000 4.665" Properties=species:S:1:pos:R:3 pbc="T T T"
Hf 0.000 0.000 0.000
Hf 3.786 3.786 0.000
Sb 6.457 4.899 0.000
Sb 1.114 2.672 0.000
Sb 4.899 1.114 0.000
Sb 2.672 6.457 0.000
In 1.262 5.047 2.332
In 6.310 2.524 2.332
In 2.524 1.262 2.332
In 5.047 6.310 2.332
```

Output
* E_form (uncorrected): 0.065 eV per atom
* crystal system: tetragonal
* space group: P4/mbm, No. 127

No. 2
A relaxed La2TbPr6 crystal. Source: Alexandria via LeMat-Bulk, functional PBE-GGA.

```
18
Lattice="-6.286 -9.050 1.471 3.495 -1.870 3.431 -1.916 3.238 11.729" Properties=species:S:1:pos:R:3 pbc="T T T"
Pr -3.196 -3.767 5.210
Pr -5.206 -3.651 11.325
Pr -3.408 -5.357 8.564
Pr -7.291 -6.664 11.809
Pr -1.298 -2.325 8.067
Pr -3.485 -8.466 2.941
Pr -5.291 -6.771 5.704
Pr 0.500 -4.031 5.306
Pr 2.585 -1.018 4.822
Pr -1.221 0.784 13.690
Pr -1.510 -3.915 11.421
Pr 0.585 -0.911 10.927
La -1.574 -7.043 5.773
La -3.133 -0.639 10.858
La -3.605 -6.970 11.889
La -1.101 -0.712 4.742
Tb 0.790 0.684 7.580
Tb -1.395 -5.460 2.451
```

Output
* total DFT energy (no corrections): -4.78 eV per atom
* crystal system: orthorhombic
* space group: Pnnm, No. 58

No. 3
A relaxed NdDyPuHg crystal. Source: Alexandria via LeMat-Bulk, functional PBE-GGA.

```
4
Lattice="5.431 0.000 0.000 2.715 4.703 0.000 2.715 1.568 4.434" Properties=species:S:1:pos:R:3 pbc="T T T"
Nd 8.146 4.703 3.326
Pu 5.431 3.135 2.217
Hg 0.000 0.000 0.000
Dy 2.715 1.568 1.109
```

Output
* total DFT energy (no corrections): -5.97 eV per atom
* crystal system: cubic
* space group: F-43m, No. 216

No. 4
A relaxed LiMnIr crystal. Source: Alexandria via LeMat-Bulk, functional PBE-GGA.

```
3
Lattice="4.008 0.000 0.000 -2.004 3.471 0.000 0.000 0.000 2.604" Properties=species:S:1:pos:R:3 pbc="T T T"
Li 0.000 2.314 0.946
Mn 2.004 1.157 1.671
Ir 0.000 0.000 2.591
```

Output
* total DFT energy (no corrections): -6.57 eV per atom
* crystal system: trigonal
* space group: P3m1, No. 156

No. 5
A relaxed LiVAsSe2 crystal. Source: Alexandria via LeMat-Bulk, functional PBE-GGA.

```
5
Lattice="-3.006 3.694 -0.970 -3.728 -2.571 1.765 0.819 1.815 4.372" Properties=species:S:1:pos:R:3 pbc="T T T"
Li -2.958 1.469 2.584
V 0.000 0.000 0.000
As 0.410 0.907 2.186
Se -1.503 1.847 -0.485
Se -1.864 -1.285 0.883
```

Output
* E_form (uncorrected): -0.215 eV per atom
* crystal system: tetragonal
* space group: P4/mmm, No. 123

No. 6
A relaxed LiZn2Cl crystal. Source: Alexandria via LeMat-Bulk, functional PBE-GGA.

```
4
Lattice="6.786 0.000 0.000 0.000 3.561 0.003 0.000 -0.004 3.562" Properties=species:S:1:pos:R:3 pbc="T T T"
Zn 0.000 0.006 0.006
Zn 0.000 1.773 1.776
Li 3.393 2.668 2.673
Cl 3.393 0.889 0.891
```

Output
* E_form (uncorrected): -0.567 eV per atom
* crystal system: orthorhombic
* space group: Cmmm, No. 65

No. 7
A relaxed ZrGaSe2Br crystal. Source: Alexandria via LeMat-Bulk, functional PBE-GGA.

```
5
Lattice="-4.327 -1.549 1.944 2.381 -1.466 4.133 -0.703 4.451 1.984" Properties=species:S:1:pos:R:3 pbc="T T T"
Zr -1.324 0.718 4.030
Ga 0.000 0.000 0.000
Se -2.163 -0.775 0.972
Se 1.191 -0.733 2.066
Br -0.351 2.225 0.992
```

Output
* E_form (uncorrected): 0.047 eV per atom
* crystal system: tetragonal
* space group: P4/mmm, No. 123

No. 8
A relaxed TlCoSb2 crystal. Source: Alexandria via LeMat-Bulk, functional PBE-GGA.

```
4
Lattice="-3.480 1.379 0.121 -0.795 -1.597 -4.688 -2.286 -5.611 -1.823" Properties=species:S:1:pos:R:3 pbc="T T T"
Sb 0.000 0.000 0.000
Sb -2.138 -0.109 -2.284
Co -1.143 -2.806 -0.912
Tl -3.281 -2.914 -3.195
```

Output
* E_form (uncorrected): 0.589 eV per atom
* crystal system: monoclinic
* space group: P2/m, No. 10

No. 9
A relaxed Pm2PrDy6 crystal. Source: Alexandria via LeMat-Bulk, functional PBE-GGA.

```
9
Lattice="7.436 0.000 0.000 3.718 6.440 0.000 3.718 2.147 6.363" Properties=species:S:1:pos:R:3 pbc="T T T"
Pm 11.154 6.440 4.682
Pm 7.436 4.293 1.661
Pr 3.718 2.147 0.327
Dy 5.829 0.928 1.832
Dy 1.608 0.928 1.832
Dy 5.483 3.166 4.435
Dy 7.436 6.548 4.435
Dy 3.718 4.584 1.832
Dy 9.389 3.165 4.435
```

Output
* total DFT energy (no corrections): -4.33 eV per atom
* crystal system: trigonal
* space group: R3m, No. 160

No. 10
A relaxed Pr2DyYHo6 crystal. Source: Alexandria via LeMat-Bulk, functional PBE-GGA.

```
20
Lattice="9.202 -2.147 -2.228 0.746 8.515 -2.036 0.746 -2.351 8.434" Properties=species:S:1:pos:R:3 pbc="T T T"
Ho 4.918 -0.817 5.859
Ho 1.176 -0.794 5.883
Ho 2.177 4.451 -1.396
Ho 4.098 2.770 0.588
Ho 8.518 -0.433 5.565
Ho 3.917 6.651 0.887
Ho 6.597 1.248 3.581
Ho 9.519 4.812 -1.714
Ho 1.996 4.606 2.494
Ho 5.777 4.835 -1.690
Ho 8.699 -0.588 1.676
Ho 6.778 -2.633 3.282
Y 3.047 7.790 -2.412
Y 7.648 -3.773 6.582
Pr 9.940 2.017 3.249
Pr 5.338 4.246 3.250
Pr 0.756 2.001 0.920
Pr 5.357 -0.228 0.920
Dy 7.648 2.487 0.550
Dy 3.047 1.531 3.620
```

Output
* total DFT energy (no corrections): -4.69 eV per atom
* crystal system: monoclinic
* space group: C2/c, No. 15

No. 11
A relaxed SrGa2Sn crystal. Source: Alexandria via LeMat-Bulk, functional PBE-GGA.

```
4
Lattice="4.552 0.000 0.000 0.000 4.689 0.000 0.000 0.000 4.689" Properties=species:S:1:pos:R:3 pbc="T T T"
Sr 2.276 2.344 2.344
Sn 2.276 0.000 0.000
Ga 0.000 2.344 0.000
Ga 0.000 0.000 2.344
```

Output
* total DFT energy (no corrections): -3.22 eV per atom
* crystal system: tetragonal
* space group: P4/mmm, No. 123

No. 12
A relaxed Fe3PtRh12 crystal. Source: Alexandria via LeMat-Bulk, functional PBE-GGA.

```
16
Lattice="3.827 0.000 0.000 0.000 3.827 0.000 0.000 0.000 15.231" Properties=species:S:1:pos:R:3 pbc="T T T"
Rh 1.914 1.914 11.383
Rh 1.914 0.000 9.503
Rh 1.914 0.000 1.967
Rh 0.000 1.914 13.264
Rh 1.914 1.914 3.848
Rh 0.000 1.914 1.967
Rh 1.914 0.000 13.264
Rh 1.914 1.914 7.616
Rh 0.000 1.914 5.728
Rh 0.000 1.914 9.503
Rh 1.914 0.000 5.728
Rh 1.914 1.914 0.000
Fe 0.000 0.000 7.616
Fe 0.000 0.000 3.844
Fe 0.000 0.000 11.387
Pt 0.000 0.000 0.000
```

Output
* total DFT energy (no corrections): -7.52 eV per atom
* crystal system: tetragonal
* space group: P4/mmm, No. 123

No. 13
A relaxed Mn6CoNi crystal. Source: Alexandria via LeMat-Bulk, functional PBE-GGA.

```
8
Lattice="3.560 0.000 0.000 0.000 5.021 -0.047 0.000 0.017 5.021" Properties=species:S:1:pos:R:3 pbc="T T T"
Mn 0.000 1.246 1.230
Mn 0.000 1.266 3.755
Mn 0.000 3.771 1.219
Mn 1.780 0.008 2.511
Mn 0.000 3.792 3.744
Mn 1.780 2.510 -0.024
Ni 1.780 2.519 2.487
Co 1.780 0.000 0.000
```

Output
* total DFT energy (no corrections): -8.53 eV per atom
* crystal system: orthorhombic
* space group: Cmmm, No. 65

No. 14
A relaxed TaTcRu2 crystal. Source: Alexandria via LeMat-Bulk, functional PBE-GGA.

```
4
Lattice="-1.159 -1.915 1.697 2.555 -0.952 0.672 0.320 4.983 5.841" Properties=species:S:1:pos:R:3 pbc="T T T"
Ru 0.165 2.570 3.013
Ru 0.315 4.904 5.749
Tc 0.938 2.304 5.566
Ta 0.778 -0.188 2.645
```

Output
* total DFT energy (no corrections): -10.24 eV per atom
* crystal system: tetragonal
* space group: P4/mmm, No. 123

No. 15
A relaxed KHfB crystal. Source: Alexandria via LeMat-Bulk, functional PBE-GGA.

```
6
Lattice="-19.478 -0.433 19.741 -8.737 -2.188 10.589 11.086 1.264 -8.291" Properties=species:S:1:pos:R:3 pbc="T T T"
K -5.223 -0.898 7.515
K -11.906 -0.460 14.524
B -8.769 0.030 11.514
B -8.360 -1.387 10.525
Hf 0.300 0.140 2.285
Hf -17.429 -1.498 19.754
```

Output
* total DFT energy (no corrections): -5.98 eV per atom
* crystal system: monoclinic
* space group: C2/m, No. 12

No. 16
A relaxed Zn2PIr crystal. Source: Alexandria via LeMat-Bulk, functional PBE-GGA.

```
4
Lattice="0.000 3.059 3.059 3.059 0.000 3.059 3.059 3.059 0.000" Properties=species:S:1:pos:R:3 pbc="T T T"
P 1.530 1.530 1.530
Zn 4.589 4.589 4.589
Zn 0.000 0.000 0.000
Ir 3.059 3.059 3.059
```

Output
* total DFT energy (no corrections): -4.08 eV per atom
* crystal system: cubic
* space group: F-43m, No. 216

No. 17
A relaxed Ac2MgCd16 crystal. Source: Alexandria via LeMat-Bulk, functional PBE-GGA.

```
19
Lattice="-6.141 2.065 4.296 -5.288 -4.471 -3.532 0.175 -5.956 4.992" Properties=species:S:1:pos:R:3 pbc="T T T"
Cd -8.187 -9.369 3.615
Cd -6.971 -1.994 4.121
Cd -9.817 -2.837 3.270
Cd -8.610 -6.129 7.495
Cd -6.967 -8.063 1.250
Cd -3.935 -5.850 4.455
Cd -4.664 -3.201 5.436
Cd -1.163 -0.864 0.595
Cd -7.336 -2.474 1.267
Cd -11.318 -5.392 3.270
Cd -7.569 -3.448 6.778
Cd -5.708 -5.812 6.983
Cd -6.562 -5.136 0.358
Cd -4.247 -6.397 1.607
Cd -5.357 -8.501 3.762
Cd -9.566 -4.763 0.964
Ac -7.475 -5.554 3.823
Ac -3.778 -2.807 1.932
Mg -10.192 -7.573 5.213
```

Output
* total DFT energy (no corrections): -1.49 eV per atom
* crystal system: trigonal
* space group: R3m, No. 160

No. 18
A relaxed K2ScCu crystal. Source: Alexandria via LeMat-Bulk, functional PBE-GGA.

```
4
Lattice="4.503 0.000 0.000 0.000 4.503 0.000 0.000 0.000 6.094" Properties=species:S:1:pos:R:3 pbc="T T T"
Sc 2.251 0.000 3.047
K 0.000 0.000 0.000
K 2.251 2.251 0.000
Cu 0.000 2.251 3.047
```

Output
* total DFT energy (no corrections): -2.46 eV per atom
* crystal system: tetragonal
* space group: P4/mmm, No. 123

No. 19
A relaxed Rb2Sn7Pb12 crystal. Source: Alexandria via LeMat-Bulk, functional PBE-GGA.

```
21
Lattice="-1.859 1.622 2.509 -10.634 -10.299 -1.219 11.190 -1.975 9.566" Properties=species:S:1:pos:R:3 pbc="T T T"
Pb -2.088 -1.613 3.271
Pb -4.259 -10.207 4.730
Pb 0.786 -9.039 7.585
Pb -2.834 -9.813 8.019
Pb 4.930 -4.582 10.262
Pb -9.420 -7.424 1.596
Pb 1.532 -0.839 2.837
Pb -1.040 -5.028 3.766
Pb -6.232 -6.070 0.594
Pb -0.262 -5.624 7.090
Pb 2.956 -0.445 6.126
Pb 8.118 -3.227 9.260
Sn -1.549 -8.080 5.405
Sn -6.567 -9.094 2.343
Sn 5.265 -1.558 8.513
Sn -3.462 -4.088 1.407
Sn 2.160 -6.564 9.449
Sn -0.929 0.811 1.255
Sn 0.247 -2.571 5.451
Rb -4.788 -6.277 4.305
Rb 3.486 -4.374 6.551
```

Output
* total DFT energy (no corrections): -3.54 eV per atom
* crystal system: trigonal
* space group: P-3, No. 147

No. 20
A relaxed Dy4ErTm7 crystal. Source: Alexandria via LeMat-Bulk, functional PBE-GGA.

```
12
Lattice="6.556 1.265 0.545 4.325 7.100 2.060 -1.385 -0.569 8.772" Properties=species:S:1:pos:R:3 pbc="T T T"
Tm 6.911 3.127 6.823
Tm 3.278 0.632 0.273
Tm 2.585 4.668 4.554
Tm 4.604 5.790 7.220
Tm 5.720 4.040 9.794
Tm 3.776 3.755 1.584
Tm 4.892 2.005 4.158
Er 0.000 0.000 0.000
Dy 1.715 1.251 3.164
Dy 7.781 6.544 8.214
Dy 5.997 5.065 4.128
Dy 3.500 2.730 7.249
```

Output
* total DFT energy (no corrections): -4.43 eV per atom
* crystal system: triclinic
* space group: P-1, No. 2

No. 21
A relaxed LiPrLu crystal. Source: Alexandria via LeMat-Bulk, functional PBE-GGA.

```
3
Lattice="-2.192 -2.614 0.813 1.716 -0.038 -3.058 6.301 -4.168 3.586" Properties=species:S:1:pos:R:3 pbc="T T T"
Li 0.047 -0.031 0.027
Lu 1.162 -3.112 0.690
Pr 4.616 -3.676 0.624
```

Output
* total DFT energy (no corrections): -3.62 eV per atom
* crystal system: trigonal
* space group: P3m1, No. 156

No. 22
A relaxed NaPuP2 crystal. Source: Alexandria via LeMat-Bulk, functional PBE-GGA.

```
4
Lattice="4.066 0.000 0.000 2.033 3.521 0.000 2.033 1.174 6.725" Properties=species:S:1:pos:R:3 pbc="T T T"
Na 4.066 2.347 3.462
P 2.033 1.174 5.335
P 2.033 1.174 1.333
Pu 6.099 3.521 6.681
```

Output
* total DFT energy (no corrections): -7.10 eV per atom
* crystal system: trigonal
* space group: R3m, No. 160

No. 23
A relaxed Nd2DyHo3Er6 crystal. Source: Alexandria via LeMat-Bulk, functional PBE-GGA.

```
12
Lattice="-1.158 4.131 -4.386 -0.498 -5.991 -1.226 -10.536 0.889 5.045" Properties=species:S:1:pos:R:3 pbc="T T T"
Er -2.972 -1.927 0.392
Er -3.913 -1.175 -2.946
Er -8.278 0.203 2.379
Er -8.999 -2.413 0.094
Er -9.219 0.956 -0.958
Er -3.192 1.441 -0.660
Ho -6.095 -0.486 -0.283
Ho -5.876 -3.861 0.771
Ho -6.315 2.890 -1.337
Nd -0.718 -2.617 -2.279
Nd -0.938 0.757 -3.333
Dy 0.000 0.000 0.000
```

Output
* total DFT energy (no corrections): -4.58 eV per atom
* crystal system: monoclinic
* space group: C2/m, No. 12

No. 24
A relaxed LiZr2TlC crystal. Source: Alexandria via LeMat-Bulk, functional PBE-GGA.

```
5
Lattice="-1.119 -3.995 1.905 4.361 -1.330 -0.228 0.711 1.662 3.903" Properties=species:S:1:pos:R:3 pbc="T T T"
Zr 2.180 -0.665 -0.114
Zr -0.559 -1.997 0.952
C 0.000 0.000 0.000
Tl 1.976 -1.831 2.790
Li 0.355 0.831 1.951
```

Output
* total DFT energy (no corrections): -6.37 eV per atom
* crystal system: tetragonal
* space group: P4/mmm, No. 123